Arrangement 1

Hf2CrRe2 PBE-GGA relaxed; symmetry = No. 127
1.0
-0.7688 -3.9720 -4.8698
4.3126 -3.9020 2.5018
-3.2222 -2.1242 2.2413
Hf Cr Re
4 2 4
Cartesian
-1.0995 -3.0358 -0.0145
-0.8484 -5.5968 -2.0807
1.1701 -4.4014 1.9540
1.4211 -6.9624 -0.1122
0.0000 0.0000 0.0000
1.7719 -3.9370 -1.1840
0.1165 -3.0989 -2.7696
2.1057 -5.9131 -2.5770
1.4381 -1.9609 0.2090
3.4273 -4.7751 0.4016


Arrangement 2

Hf2CrRe2 PBE-GGA relaxed; symmetry = No. 139
1.0
-0.3783 -2.5359 -3.4328
3.3953 -2.2669 1.3005
-1.9256 -5.8615 1.8683
Re Hf Cr
2 2 1
Cartesian
0.3017 -7.5386 0.1880
0.7897 -3.1256 -0.4519
-0.3977 -5.3994 -1.3153
1.4891 -5.2649 1.0513
0.0000 0.0000 0.0000


Going by the energies, arrangement 1 is most stable and the next is 796 meV per atom up.


Arrangement 1

HfCrRe PBE-GGA relaxed; symmetry = No. 107
1.0
3.1120 0.0000 0.0000
0.0000 3.1120 0.0000
-1.5560 -1.5560 4.8808
Re Cr Hf
1 1 1
Cartesian
0.0000 0.0000 3.1186
1.5560 1.5560 1.7364
0.0000 0.0000 0.0258


Arrangement 2

HfCrRe PBE-GGA relaxed; symmetry = No. 69
1.0
-2.1378 4.4616 -0.3399
-2.7547 -4.0819 -0.5844
1.6143 -0.2551 4.8394
Re Hf Cr
2 2 2
Cartesian
-0.2467 -0.0193 1.2984
-3.0315 0.1440 2.6168
-2.5483 -1.2230 -0.5026
-2.3443 1.6028 -0.4217
-1.4849 2.1982 2.0187
-1.7933 -2.0735 1.8964


Going by the energies, arrangement 1 is most stable and the next is 254 meV per atom up.


Arrangement 1

HfCrRe2 PBE-GGA relaxed; symmetry = No. 123
1.0
3.1163 0.0000 0.0000
0.0000 3.1163 0.0000
0.0000 0.0000 6.3858
Re Cr Hf
2 1 1
Cartesian
0.0000 0.0000 4.9408
0.0000 0.0000 1.4450
1.5582 1.5582 0.0000
1.5582 1.5582 3.1929


Arrangement 2

HfCrRe2 PBE-GGA relaxed; symmetry = No. 122
1.0
7.1688 0.0000 0.0000
0.0000 7.1688 0.0000
3.5844 3.5844 2.6312
Hf Cr Re
2 2 4
Cartesian
0.0000 0.0000 0.0000
7.1688 3.5844 1.3156
3.5844 3.5844 0.0000
3.5844 7.1688 1.3156
5.0231 1.7922 0.6578
2.1457 5.3766 0.6578
8.9610 8.6075 1.9734
5.3766 5.7301 1.9734


Going by the energies, arrangement 1 is most stable and the next is 624 meV per atom up.


Arrangement 1

HfCr2Rh2 PBE-GGA relaxed; symmetry = No. 127
1.0
-1.3224 -5.7934 -4.2698
-2.3703 -3.7485 5.8202
-2.5475 0.9128 -0.4496
Cr Rh Hf
4 4 2
Cartesian
-2.6227 -7.4429 -0.2510
-1.0669 -3.9452 -1.9645
-1.0700 -2.0989 1.8014
-2.6258 -5.5967 3.5149
-4.1168 -6.5565 1.6460
-2.1234 -2.0725 -0.5452
-3.1230 -3.1337 2.9641
-3.1173 -5.4953 -1.8633
-1.8464 -4.7709 0.7752
0.0000 0.0000 0.0000


Arrangement 2

HfCr2Rh2 PBE-GGA relaxed; symmetry = No. 127
1.0
7.3297 0.0000 0.0000
0.0000 7.3297 0.0000
0.0000 0.0000 2.7422
Cr Rh Hf
4 4 2
Cartesian
2.4355 1.2294 1.3711
1.2294 4.8943 1.3711
4.8943 6.1003 1.3711
6.1003 2.4355 1.3711
2.7127 6.3775 0.0000
6.3775 4.6171 0.0000
4.6171 0.9522 0.0000
0.9522 2.7127 0.0000
0.0000 0.0000 0.0000
3.6649 3.6649 0.0000


Arrangement 3

HfCr2Rh2 PBE-GGA relaxed; symmetry = No. 139
1.0
-3.3497 0.7736 -2.0153
0.4702 -3.3695 -2.0750
-4.0152 -3.7209 1.3058
Rh Cr Hf
2 2 1
Cartesian
-2.4924 -4.1942 -1.4072
-4.4023 -2.1227 -1.3773
-1.9595 -1.7869 -1.3689
-4.9352 -4.5299 -1.4156
0.0000 0.0000 0.0000


Going by the energies, arrangement 1 is most stable and the next is 9 meV per atom up.


Arrangement 1

Hf3CrRu PBE-GGA relaxed; symmetry = No. 221
1.0
4.6878 0.0000 0.0000
0.0000 4.6878 0.0000
0.0000 0.0000 4.6878
Hf Cr Ru
3 1 1
Cartesian
0.0000 2.3439 0.0000
0.0000 0.0000 2.3439
2.3439 0.0000 0.0000
0.0000 0.0000 0.0000
2.3439 2.3439 2.3439


Arrangement 2

Hf3CrRu PBE-GGA relaxed; symmetry = No. 221
1.0
-3.6523 -3.2463 -0.8199
0.1720 -1.3936 4.7517
-3.3438 3.4741 1.1399
Hf Ru Cr
3 1 1
Cartesian
-1.8261 -1.6232 -0.4099
0.0860 -0.6968 2.3758
-1.6719 1.7371 0.5700
0.0000 0.0000 0.0000
-3.4121 -0.5829 2.5359


Going by the energies, arrangement 2 is most stable and the next is 153 meV per atom up.


Arrangement 1

HfCrS4 PBE-GGA relaxed; symmetry = No. 15
1.0
5.7177 0.6325 0.0000
-0.7887 6.0840 0.0000
-2.4645 -3.3583 6.3253
S Hf Cr
8 2 2
Cartesian
-2.1841 -1.7527 5.5813
-0.2187 4.1008 3.8340
4.6486 5.1110 0.7440
0.1756 1.0587 2.4913
3.1393 1.9218 0.7440
-0.6748 1.4365 5.5813
2.2889 2.2996 3.8340
2.6832 -0.7425 2.4913
1.4294 0.1581 4.8298
1.0351 3.2002 1.4955
1.4294 0.1581 0.8162
1.0351 3.2002 5.5091


Arrangement 2

HfCrS4 PBE-GGA relaxed; symmetry = No. 74
1.0
-3.4706 3.6381 4.8781
3.4706 -3.6381 4.8781
3.4706 3.6381 -4.8781
S Hf Cr
8 2 2
Cartesian
5.1743 1.8190 -0.0314
3.4706 3.4510 -2.3642
0.0000 0.1870 7.2423
1.7038 1.8190 4.9095
3.4706 -0.1870 2.3642
0.0000 3.8251 2.5139
-1.7038 1.8190 4.9095
1.7668 1.8190 -0.0314
0.0000 0.0000 0.0000
0.0000 3.6381 0.0000
1.7353 1.8190 -2.4390
1.7353 -1.8190 2.4390


Going by the energies, arrangement 2 is most stable and the next is 143 meV per atom up.


Arrangement 1

HfCrS3 PBE-GGA relaxed; symmetry = No. 221
1.0
4.4911 0.0000 0.0000
0.0000 4.4911 0.0000
0.0000 0.0000 4.4911
Hf Cr S
1 1 3
Cartesian
2.2456 2.2456 2.2456
0.0000 0.0000 0.0000
2.2456 0.0000 0.0000
0.0000 2.2456 0.0000
0.0000 0.0000 2.2456


Arrangement 2

HfCrS3 PBE-GGA relaxed; symmetry = No. 36
1.0
3.6097 0.0000 0.0000
0.0000 6.1963 0.0000
-1.8048 0.0000 9.6357
S Cr Hf
6 2 2
Cartesian
1.8048 1.9606 7.7339
0.0000 0.9593 4.8334
1.8048 2.1007 1.8738
0.0000 5.1988 7.7619
1.8048 4.0575 4.8024
0.0000 5.0588 1.9018
1.8048 6.0641 6.4559
0.0000 2.9660 3.1798
0.0000 3.1301 6.5186
1.8048 0.0320 3.1171


Going by the energies, arrangement 2 is most stable and the next is 923 meV per atom up.


Arrangement 1

HfCrS2 PBE-GGA relaxed; symmetry = No. 122
1.0
-1.1565 3.6414 -4.0462
-0.7251 -4.2027 -3.5750
-6.3422 -0.4966 -2.4612
S Hf Cr
4 2 2
Cartesian
-5.4713 -0.6357 -4.7488
-6.3939 -0.8109 -8.4697
-2.3844 1.5807 -3.5403
-2.1978 -2.2500 -3.4063
-4.2197 1.4321 -5.1591
0.0000 0.0000 0.0000
-0.9408 -0.2807 -3.8106
-4.0040 -2.4900 -4.9234


Arrangement 2

HfCrS2 PBE-GGA relaxed; symmetry = No. 166
1.0
0.3795 7.4596 3.0629
2.7516 7.5749 0.4694
-0.6596 8.0421 -0.2458
S Cr Hf
2 1 1
Cartesian
2.2220 20.7475 2.9548
0.2494 2.3291 0.3317
0.0000 0.0000 0.0000
1.2357 11.5383 1.6432


Going by the energies, arrangement 2 is most stable and the next is 77 meV per atom up.


Arrangement 1

HfCr2S PBE-GGA relaxed; symmetry = No. 122
1.0
7.0617 0.0000 0.0000
0.0000 7.0617 0.0000
3.5308 3.5308 2.5061
S Hf Cr
2 2 4
Cartesian
3.5308 3.5308 0.0000
3.5308 7.0617 1.2530
0.0000 0.0000 0.0000
7.0617 3.5308 1.2530
5.2962 5.9328 1.8796
8.8271 8.1905 1.8796
4.6597 1.7654 0.6265
2.4020 5.2962 0.6265


Arrangement 2

HfCr2S PBE-GGA relaxed; symmetry = No. 225
1.0
-2.8975 -3.1331 -0.0008
-2.3324 -0.7502 3.4941
-4.1620 0.9427 0.0302
S Hf Cr
1 1 2
Cartesian
0.0000 0.0000 0.0000
-4.6959 -1.4703 1.7617
-2.3480 -0.7351 0.8809
-7.0439 -2.2054 2.6426


Going by the energies, arrangement 1 is most stable and the next is 289 meV per atom up.


Arrangement 1

HfCr3S PBE-GGA relaxed; symmetry = No. 221
1.0
-0.6710 -0.6720 -4.4693
4.4991 -0.5285 -0.5960
-0.4293 -4.4884 0.7393
Cr Hf S
3 1 1
Cartesian
2.2496 -0.2643 -0.2980
-0.3355 -0.3360 -2.2347
-0.2147 -2.2442 0.3696
0.0000 0.0000 0.0000
1.6994 -2.8445 -2.1630


Arrangement 2

HfCr3S PBE-GGA relaxed; symmetry = No. 221
1.0
-4.0379 -1.1033 0.3695
1.1600 -3.9215 0.9669
0.0910 1.0311 4.0727
Hf Cr S
1 3 1
Cartesian
-1.3935 -1.9968 2.7045
0.5800 -1.9607 0.4834
0.0455 0.5155 2.0363
-2.0189 -0.5517 0.1848
0.0000 0.0000 0.0000


Going by the energies, arrangement 2 is most stable and the next is 2142 meV per atom up.


Arrangement 1

HfCrSb2 PBE-GGA relaxed; symmetry = No. 166
1.0
-2.7424 -0.2366 1.8756
-2.2561 -2.3655 -0.6396
3.1256 -7.1185 6.6298
Sb Cr Hf
2 1 1
Cartesian
-3.7003 -4.2957 2.9206
1.8274 -5.4249 4.9453
0.0000 0.0000 0.0000
-0.9365 -4.8603 3.9329


Arrangement 2

HfCrSb2 PBE-GGA relaxed; symmetry = No. 122
1.0
6.3812 0.0000 0.0000
0.0000 6.3812 0.0000
3.1906 3.1906 6.3969
Sb Cr Hf
4 2 2
Cartesian
4.7050 1.5953 1.5992
7.9765 7.8956 4.7977
1.6762 4.7859 1.5992
4.7859 4.8668 4.7977
3.1906 3.1906 0.0000
3.1906 6.3812 3.1985
0.0000 0.0000 0.0000
6.3812 3.1906 3.1985


Arrangement 3

HfCrSb2 PBE-GGA relaxed; symmetry = No. 225
1.0
0.0000 3.4052 3.4052
3.4052 0.0000 3.4052
3.4052 3.4052 0.0000
Sb Cr Hf
2 1 1
Cartesian
1.7026 1.7026 1.7026
5.1077 5.1077 5.1077
0.0000 0.0000 0.0000
3.4052 3.4052 3.4052


Going by the energies, arrangement 3 is most stable and the next is 106 meV per atom up.


Arrangement 1

HfCrSbTe2 PBE-GGA relaxed; symmetry = No. 123
1.0
-2.5538 -4.1754 1.6819
4.3016 -1.6939 2.3263
-1.2932 2.4823 4.1988
Cr Te Sb Hf
1 2 1 1
Cartesian
0.0000 0.0000 0.0000
2.1508 -0.8470 1.1631
-1.2769 -2.0877 0.8410
-0.6466 1.2411 2.0994
0.2273 -1.6935 4.1035


Arrangement 2

HfCrSbTe2 PBE-GGA relaxed; symmetry = No. 123
1.0
-2.6584 -4.2864 -2.2734
4.6674 -2.9674 0.1371
-1.3294 -1.8574 5.0566
Sb Te Cr Hf
1 2 1 1
Cartesian
-0.6647 -0.9287 2.5283
-1.3292 -2.1432 -1.1367
2.3337 -1.4837 0.0685
0.3398 -4.5556 1.4602
0.0000 0.0000 0.0000


Going by the energies, arrangement 2 is most stable and the next is 135 meV per atom up.